# Sn3WO, relaxed, DFT GGA+U
data_Sn3WO
_cell_length_a 4.7442
_cell_length_b 4.7442
_cell_length_c 4.7442
_cell_angle_alpha 90.00
_cell_angle_beta 90.00
_cell_angle_gamma 90.00
_space_group_name_H-M_alt 'P m -3 m'
_space_group_IT_number 221
_space_group_name_Hall '-P 4 2 3'
loop_
_atom_site_label
_atom_site_type_symbol
_atom_site_fract_x
_atom_site_fract_y
_atom_site_fract_z
_atom_site_occupancy
Sn1 Sn 0.0000 0.0000 0.5000 1
W1 W 0.5000 0.5000 0.5000 1
O1 O 0.0000 0.0000 0.0000 1
# Relative energy among the computed polymorphs in meV per atom: 0
# V in Å³ per cell: 106.8